An optimized crystal structure of Cs2KRbO, computed with PBE.

Cell and atoms, written as extended XYZ:
```
5
Lattice="6.394 0.000 0.000 0.000 6.394 0.000 0.000 0.000 6.051" Properties=species:S:1:pos:R:3 pbc="T T T"
Cs 0.000 3.197 0.000
K 0.000 0.000 3.026
Rb 3.197 3.197 3.026
O 0.000 0.000 0.000
Cs 3.197 0.000 0.000
```

**E_tot**: -2.139 eV per atom


An optimized crystal structure of UHgF2, computed with PBE.

Cell and atoms, written as extended XYZ:
```
4
Lattice="-0.262 1.348 -2.869 -2.870 0.748 -1.150 -0.359 9.797 2.872" Properties=species:S:1:pos:R:3 pbc="T T T"
Hg 0.000 0.000 0.000
F -2.898 5.200 -2.582
U -1.745 5.946 -0.573
F -0.593 6.693 1.435
```

**E_tot**: -5.760 eV per atom


An optimized crystal structure of YErGaPt, computed with PBE.

Cell and atoms, written as extended XYZ:
```
4
Lattice="4.989 0.000 0.000 2.494 4.321 0.000 2.494 1.440 4.073" Properties=species:S:1:pos:R:3 pbc="T T T"
Y 7.483 4.321 3.055
Pt 4.989 2.880 2.037
Er 2.494 1.440 1.018
Ga 0.000 0.000 0.000
```

**Calculated formation energy**: -0.88 eV per atom
**E_tot**: -5.905 eV per atom


An optimized crystal structure of LaSm2Mn, computed with PBE.

Cell and atoms, written as extended XYZ:
```
4
Lattice="3.609 0.000 0.000 0.000 3.609 0.000 0.000 0.000 9.111" Properties=species:S:1:pos:R:3 pbc="T T T"
La 1.805 1.805 4.556
Sm 0.000 0.000 1.772
Mn 1.805 1.805 0.000
Sm 0.000 0.000 7.340
```

**Calculated formation energy**: 0.16 eV per atom
**E_tot**: -5.726 eV per atom


An optimized crystal structure of LiCe2HoS5, computed with PBE.

Cell and atoms, written as extended XYZ:
```
18
Lattice="3.960 0.000 0.000 -1.980 8.207 0.000 0.000 0.000 11.906" Properties=species:S:1:pos:R:3 pbc="T T T"
Ho 0.000 3.249 0.032
S 1.980 2.257 5.942
S 0.000 0.758 0.838
S 0.000 8.195 9.309
S 0.000 5.951 11.895
S 1.980 3.482 1.920
S 0.000 4.725 7.873
Ce 1.980 6.150 9.507
S 1.980 3.139 10.080
Ho 1.980 4.958 5.985
Ce 0.000 1.785 8.148
Ce 0.000 2.058 3.554
Ce 1.980 6.423 2.195
Li 1.980 0.237 11.658
Li 0.000 7.970 5.706
S 0.000 5.068 4.127
S 1.980 0.012 3.356
S 1.980 7.449 6.790
```

**E_tot**: -6.220 eV per atom


An optimized crystal structure of Rb3Li2AgF6, computed with PBE.

Cell and atoms, written as extended XYZ:
```
12
Lattice="-1.035 0.136 6.213 -4.672 -1.531 -3.939 1.896 -6.994 0.469" Properties=species:S:1:pos:R:3 pbc="T T T"
Rb 0.000 0.000 0.000
F -0.305 -5.190 4.780
F -2.532 -5.919 2.902
F 0.189 -5.254 1.818
Li -3.020 -2.599 -0.446
F -4.000 -3.135 0.925
Rb -2.233 -5.502 -0.252
Li -0.792 -5.790 3.189
F -1.279 -2.470 -0.159
Ag 0.948 -3.497 0.234
Rb -1.579 -2.887 2.994
F -3.507 -3.199 -2.037
```

**E_tot**: -4.122 eV per atom


An optimized crystal structure of Sm7DyHo3, computed with PBE.

Cell and atoms, written as extended XYZ:
```
11
Lattice="5.849 -0.173 -0.221 -2.657 7.997 1.097 -2.657 -0.874 8.024" Properties=species:S:1:pos:R:3 pbc="T T T"
Sm 0.162 -0.458 4.742
Dy 0.268 3.475 4.450
Ho -2.657 6.186 2.511
Ho -2.657 0.937 6.610
Sm 0.415 5.496 7.039
Ho 2.925 -0.086 -0.111
Sm 0.373 7.408 4.158
Sm 0.373 2.238 8.195
Sm 0.162 4.712 0.705
Sm 0.120 1.454 1.862
Sm -2.657 3.561 4.561
```

**Calculated formation energy**: 0.24 eV per atom
**E_tot**: -4.428 eV per atom


An optimized crystal structure of Dy3HoCo8, computed with PBE.

Cell and atoms, written as extended XYZ:
```
12
Lattice="5.061 0.000 0.000 2.531 4.383 0.000 2.531 1.461 8.269" Properties=species:S:1:pos:R:3 pbc="T T T"
Co 7.592 4.383 7.753
Co 6.328 5.113 5.681
Co 6.326 2.192 1.555
Ho 7.592 4.383 3.101
Dy 7.592 4.383 0.001
Co 8.856 5.113 5.681
Dy 5.061 2.922 7.236
Co 3.797 2.192 1.555
Co 5.061 4.382 1.555
Co 7.592 2.924 5.681
Dy 5.061 2.922 4.134
Co 2.531 1.461 3.616
```

**Calculated formation energy**: -0.21 eV per atom
**E_tot**: -6.477 eV per atom


no.,M_tot (μB/atom)
1,0.000
2,0.509
3,0.000
4,0.815
5,0.213
6,0.012
7,0.012
8,0.629